DFT (PBE-GGA) results for a relaxed structure of SmSn2Te4.

Magnetic moment: 0.0000 μB/atom
Final energy: -59.09 eV/cell

Unit cell a=4.361 b=7.648 c=14.606 alpha=90.00 beta=90.00 gamma=106.57
Sites, in units of the cell vectors:
Sm: 0.604 0.208 0.750
Sm: 0.396 0.792 0.250
Sn: 0.136 0.271 0.439
Sn: 0.864 0.729 0.939
Sn: 0.136 0.271 0.061
Sn: 0.864 0.729 0.561
Te: 0.782 0.565 0.132
Te: 0.782 0.565 0.368
Te: 0.218 0.435 0.868
Te: 0.218 0.435 0.632
Te: 0.951 0.903 0.750
Te: 0.049 0.097 0.250
Te: 0.500 0.000 0.000
Te: 0.500 0.000 0.500